{
  "formula": "Na3PuBi2Se6",
  "functional": "GGA-PBE",
  "state": "relaxed",
  "formation_energy_uncorrected_mev_per_atom": -945,
  "m_tot_mub_per_fu": 5.0,
  "spacegroup": "C2/m, No. 12",
  "cell": [[-1.023, -4.373, -5.802], [6.560, 0.282, 3.272], [-3.768, -3.907, 5.153]],
  "species": ["Se", "Se", "Se", "Se", "Se", "Se", "Bi", "Bi", "Na", "Na", "Na", "Pu"],
  "frac_coords": [[0.749, 0.749, 0.238], [0.408, 0.078, 0.236], [0.922, 0.592, 0.764], [0.078, 0.408, 0.236], [0.251, 0.251, 0.762], [0.592, 0.922, 0.764], [0.334, 0.666, 0.000], [0.666, 0.334, 0.000], [0.172, 0.828, 0.500], [0.500, 0.500, 0.500], [0.828, 0.172, 0.500], [0.000, 0.000, 0.000]]
}